1.
VASP calculation (PBE-GGA) on RbHg after structural relaxation.

Output
Its crystal system is orthorhombic. As for the density of states at the Fermi level: 0.629 states/eV per atom. For the formation energy, the calculation gives -0.21 eV/atom. The calculation puts the raw total energy at -0.84 eV/atom. The symmetry is P2_12_12_1, No. 19.

abc: 7.993 8.801 10.832
angles: 90.00 90.00 90.00
Sites, in units of the cell vectors:
Rb: 0.094 0.611 0.022
Rb: 0.406 0.389 0.522
Rb: 0.838 0.648 0.643
Rb: 0.906 0.111 0.478
Rb: 0.662 0.352 0.143
Rb: 0.338 0.852 0.357
Rb: 0.162 0.148 0.857
Rb: 0.594 0.889 0.978
Hg: 0.216 0.247 0.212
Hg: 0.284 0.753 0.712
Hg: 0.027 0.496 0.359
Hg: 0.473 0.504 0.859
Hg: 0.527 0.004 0.641
Hg: 0.716 0.253 0.788
Hg: 0.784 0.747 0.288
Hg: 0.973 0.996 0.141

2.
VASP calculation (PBE-GGA) on Ca2ZrCd after structural relaxation.

Output
Its crystal system is monoclinic. As for the density of states at the Fermi level: 1.376 states/eV per atom. For the formation energy, the calculation gives 0.19 eV/atom. The calculation puts the raw total energy at -3.18 eV/atom. The symmetry is C2/m, No. 12.

abc: 6.446 6.446 5.398
angles: 65.19 65.19 34.23
Sites, in units of the cell vectors:
Zr: 0.250 0.250 0.250
Ca: 0.022 0.022 0.978
Ca: 0.478 0.478 0.522
Cd: 0.750 0.750 0.750

3.
VASP calculation (PBE-GGA) on YNiB3 after structural relaxation.

Output
Its crystal system is orthorhombic. As for the density of states at the Fermi level: 0.340 states/eV per atom. For the formation energy, the calculation gives -0.33 eV/atom. The calculation puts the raw total energy at -6.79 eV/atom. The symmetry is Cmcm, No. 63. As for the distance to the lowest polymorph of the same formula: 0.0000 eV per atom.

abc: 3.473 3.139 10.312
angles: 90.00 99.69 90.00
Sites, in units of the cell vectors:
Y: 0.916 0.750 0.831
Y: 0.084 0.250 0.169
B: 0.513 0.750 0.027
B: 0.684 0.250 0.368
B: 0.657 0.750 0.313
B: 0.316 0.750 0.632
B: 0.487 0.250 0.973
B: 0.343 0.250 0.687
Ni: 0.215 0.750 0.430
Ni: 0.785 0.250 0.570

4.
VASP calculation (PBE-GGA) on K4NbS5 after structural relaxation.

Output
Its crystal system is tetragonal. As for the density of states at the Fermi level: 0.108 states/eV per atom. The calculation puts the raw total energy at -4.56 eV/atom. The symmetry is I4, No. 79. The value obtained for the uncorrected formation energy is -1046 meV/atom.

abc: 6.507 7.593 7.593
angles: 79.42 64.63 64.63
Sites, in units of the cell vectors:
K: 0.597 0.608 0.203
K: 0.205 0.203 0.392
K: 0.801 0.797 0.608
K: 0.409 0.392 0.797
Nb: 0.085 0.000 0.000
S: 0.435 0.000 0.000
S: 0.763 0.159 0.305
S: 0.067 0.695 0.159
S: 0.226 0.841 0.695
S: 0.921 0.305 0.841

5.
VASP calculation (PBE-GGA) on Re2PtRh2 after structural relaxation.

Output
Its crystal system is tetragonal. As for the density of states at the Fermi level: 0.805 states/eV per atom. For the formation energy, the calculation gives 0.17 eV/atom. The calculation puts the raw total energy at -8.96 eV/atom. The symmetry is P4/mbm, No. 127. As for the distance to the lowest polymorph of the same formula: 0.2553 eV per atom.

abc: 7.516 7.516 2.717
angles: 90.00 90.00 90.00
Sites, in units of the cell vectors:
Re: 0.672 0.828 0.500
Re: 0.828 0.328 0.500
Re: 0.328 0.172 0.500
Re: 0.172 0.672 0.500
Rh: 0.624 0.124 0.000
Rh: 0.376 0.876 0.000
Rh: 0.124 0.376 0.000
Rh: 0.876 0.624 0.000
Pt: 0.000 0.000 0.000
Pt: 0.500 0.500 0.000

6.
VASP calculation (PBE-GGA) on LiPd2Au after structural relaxation.

Output
Its crystal system is tetragonal. As for the density of states at the Fermi level: 0.797 states/eV per atom. For the formation energy, the calculation gives -0.32 eV/atom. The calculation puts the raw total energy at -4.21 eV/atom. The symmetry is I-4m2, No. 119. As for the distance to the lowest polymorph of the same formula: 0.0374 eV per atom.

abc: 3.979 3.979 4.820
angles: 114.38 114.38 90.00
Sites, in units of the cell vectors:
Li: 0.000 0.000 0.000
Pd: 0.750 0.250 0.500
Pd: 0.500 0.500 0.000
Au: 0.250 0.750 0.500

7.
VASP calculation (PBE-GGA) on Na2YCd2 after structural relaxation.

Output
Its crystal system is tetragonal. As for the density of states at the Fermi level: 0.566 states/eV per atom. For the formation energy, the calculation gives 0.04 eV/atom. The calculation puts the raw total energy at -2.15 eV/atom. The symmetry is P4/mbm, No. 127. As for the distance to the lowest polymorph of the same formula: 0.0320 eV per atom.

abc: 8.223 8.223 4.238
angles: 90.00 90.00 90.00
Sites, in units of the cell vectors:
Na: 0.332 0.168 0.500
Na: 0.832 0.332 0.500
Na: 0.168 0.668 0.500
Na: 0.668 0.832 0.500
Y: 0.000 0.000 0.000
Y: 0.500 0.500 0.000
Cd: 0.871 0.629 0.000
Cd: 0.629 0.129 0.000
Cd: 0.129 0.371 0.000
Cd: 0.371 0.871 0.000

8.
VASP calculation (PBE-GGA) on Gd3Mn after structural relaxation.

Output
Its crystal system is cubic. As for the density of states at the Fermi level: 1.100 states/eV per atom. For the formation energy, the calculation gives 0.22 eV/atom. The calculation puts the raw total energy at -12.63 eV/atom. The symmetry is Fm-3m, No. 225. As for the distance to the lowest polymorph of the same formula: 0.0211 eV per atom.

abc: 5.330 5.330 5.330
angles: 60.00 60.00 60.00
Sites, in units of the cell vectors:
Gd: 0.750 0.750 0.750
Gd: 0.000 0.000 0.000
Gd: 0.250 0.250 0.250
Mn: 0.500 0.500 0.500